No. 1
This record from the Open Quantum Materials Database describes a relaxed CsGdSeO crystal. The functional is GGA-PBE.

Cell and atoms, written as CIF:
```
data_CsGdSeO
_symmetry_space_group_name_H-M 'P m c 21'
_symmetry_Int_Tables_number 26
_symmetry_space_group_name_Hall 'P 2c -2'
_cell_length_a 4.606
_cell_length_b 8.819
_cell_length_c 7.001
_cell_angle_alpha 90.00
_cell_angle_beta 90.00
_cell_angle_gamma 90.00
loop_
_atom_site_label
_atom_site_type_symbol
_atom_site_fract_x
_atom_site_fract_y
_atom_site_fract_z
Cs1 Cs 0.000 0.196 0.000
Gd1 Gd 0.500 0.385 0.436
Se1 Se 0.000 0.211 0.505
O1 O 0.500 0.431 0.135
```

E   -44.9 eV/cell

=====

No. 2
This record from the Open Quantum Materials Database describes a relaxed Cs2Gd2Se3O crystal. The functional is GGA-PBE.

Cell and atoms, written as CIF:
```
data_Cs2Gd2Se3O
_symmetry_space_group_name_H-M 'P 3 m 1'
_symmetry_Int_Tables_number 156
_symmetry_space_group_name_Hall 'P 3 -2"'
_cell_length_a 4.0633
_cell_length_b 4.0633
_cell_length_c 16.1852
_cell_angle_alpha 90.00
_cell_angle_beta 90.00
_cell_angle_gamma 120.00
loop_
_atom_site_label
_atom_site_type_symbol
_atom_site_fract_x
_atom_site_fract_y
_atom_site_fract_z
Cs1 Cs 0.0000 0.0000 0.0000
Cs2 Cs 0.3333 0.6667 0.5326
Gd1 Gd 0.6667 0.3333 0.2640
Gd2 Gd 0.6667 0.3333 0.7965
Se1 Se 0.0000 0.0000 0.3650
Se2 Se 0.0000 0.0000 0.6914
Se3 Se 0.3333 0.6667 0.1597
O1 O 0.3333 0.6667 0.8543
```

E   -41.2 eV/cell

=====

No. 3
This record from the Open Quantum Materials Database describes a relaxed CsGdSeO crystal. The functional is GGA-PBE.

Cell and atoms, written as CIF:
```
data_CsGdSeO
_symmetry_space_group_name_H-M 'P 4/n m m'
_symmetry_Int_Tables_number 129
_cell_length_a 4.502
_cell_length_b 4.502
_cell_length_c 10.046
_cell_angle_alpha 90.00
_cell_angle_beta 90.00
_cell_angle_gamma 90.00
loop_
_symmetry_equiv_pos_as_xyz
'x,y,z'
'-x,-y,-z'
'-y+1/2,x,z'
'y+1/2,-x,-z'
'-x+1/2,-y+1/2,z'
'x+1/2,y+1/2,-z'
'y,-x+1/2,z'
'-y,x+1/2,-z'
'x+1/2,-y,-z'
'-x+1/2,y,z'
'-y,-x,-z'
'y,x,z'
'-x,y+1/2,-z'
'x,-y+1/2,z'
'y+1/2,x+1/2,-z'
'-y+1/2,-x+1/2,z'
loop_
_atom_site_label
_atom_site_type_symbol
_atom_site_fract_x
_atom_site_fract_y
_atom_site_fract_z
Cs1 Cs 0.250 0.750 0.000
Gd1 Gd 0.250 0.250 0.429
Se1 Se 0.250 0.250 0.748
O1 O 0.250 0.750 0.500
```

E   -42.3 eV/cell

=====

No. 4
This record from the Open Quantum Materials Database describes a relaxed CsGdSeO crystal. The functional is GGA-PBE.

Cell and atoms, written as CIF:
```
data_CsGdSeO
_symmetry_space_group_name_H-M 'P 63 m c'
_symmetry_Int_Tables_number 186
_symmetry_space_group_name_Hall 'P 6c -2c'
_cell_length_a 3.8703
_cell_length_b 3.8703
_cell_length_c 15.5201
_cell_angle_alpha 90.00
_cell_angle_beta 90.00
_cell_angle_gamma 120.00
loop_
_atom_site_label
_atom_site_type_symbol
_atom_site_fract_x
_atom_site_fract_y
_atom_site_fract_z
Cs1 Cs 0.3333 0.6667 0.0000
Gd1 Gd 0.0000 0.0000 0.2797
Se1 Se 0.3333 0.6667 0.6634
O1 O 0.3333 0.6667 0.3391
```

E   -44.3 eV/cell